Record 1
This record from the Alexandria database describes a geometry-optimized CeCoAg structure. The functional is PBE.

abc: 3.5689 17.4320 3.6805
angles: 90.00 90.00 90.00
Closest atoms and distances in Å follow each position.
Sites, in units of the cell vectors:
Ce (0.0000, 0.0937, 0.2500)  4 Co 2.66
Ce (0.0000, 0.9063, 0.7500)  4 Co 2.66
Ce (0.5000, 0.4063, 0.7500)  4 Co 2.66
Ce (0.5000, 0.5937, 0.2500)  4 Co 2.66
Co (0.0000, 0.4471, 0.2500)  2 Co 2.60, 4 Ce 2.66, 1 Ag 2.77
Co (0.0000, 0.5529, 0.7500)  2 Co 2.60, 4 Ce 2.66, 1 Ag 2.77
Co (0.5000, 0.0529, 0.7500)  2 Co 2.60, 4 Ce 2.66, 1 Ag 2.77
Co (0.5000, 0.9471, 0.2500)  2 Co 2.60, 4 Ce 2.66, 1 Ag 2.77
Ag (0.0000, 0.2884, 0.2500)  1 Co 2.77, 4 Ag 2.89
Ag (0.0000, 0.7116, 0.7500)  1 Co 2.77, 4 Ag 2.89
Ag (0.5000, 0.2116, 0.7500)  1 Co 2.77, 4 Ag 2.89
Ag (0.5000, 0.7884, 0.2500)  1 Co 2.77, 4 Ag 2.89

The electronic total energy is -65.96 eV for the cell shown. The value obtained for the calculated volume is 19.1 Å³ per atom. For the magnetic moment, the calculation gives 0.000 Bohr magnetons per cell.

Record 2
This record from the Alexandria database describes a geometry-optimized CeCoAg structure. The functional is PBE.

abc: 4.7973 5.0097 5.6134
angles: 65.62 72.93 83.87
Closest atoms and distances in Å follow each position.
Sites, in units of the cell vectors:
Ce (0.1645, 0.3597, 0.2646)  1 Co 2.16
Ce (0.8356, 0.6403, 0.7354)  1 Co 2.16
Co (0.3052, 0.6377, 0.6323)  1 Ce 2.16
Co (0.6948, 0.3623, 0.3677)  1 Ce 2.16
Ag (0.3031, 0.0495, 0.8344)  3 Co 2.68-2.73, 2 Ag 2.89-2.92
Ag (0.6969, 0.9505, 0.1656)  3 Co 2.68-2.73, 2 Ag 2.89-2.92

The electronic total energy is -32.78 eV for the cell shown. The value obtained for the calculated volume is 19.6 Å³ per atom. For the magnetic moment, the calculation gives 0.000 Bohr magnetons per cell.

Record 3
This record from the Alexandria database describes a geometry-optimized Ce2CoAg structure. The functional is PBE.

abc: 3.5268 3.5268 6.9816
angles: 90.00 90.00 90.00
Closest atoms and distances in Å follow each position.
Sites, in units of the cell vectors:
Ce (0.0000, 0.0000, 0.2023)  1 Ce 2.82, 4 Co 2.87
Ce (0.0000, 0.0000, 0.7977)  1 Ce 2.82, 4 Co 2.87
Co (0.5000, 0.5000, 0.0000)  8 Ce 2.87
Ag (0.5000, 0.5000, 0.5000)  8 Ce 3.25, 2 Co 3.49, 4 Ag 3.53

The electronic total energy is -22.27 eV for the cell shown. The value obtained for the calculated volume is 21.7 Å³ per atom. For the magnetic moment, the calculation gives 0.670 Bohr magnetons per cell. The calculation puts the relative energy among the computed polymorphs at 0 meV per atom.

Record 4
This record from the Alexandria database describes a geometry-optimized Ce2CoAgGe structure. The functional is PBE.

abc: 6.8867 4.5603 7.6002
angles: 90.00 111.38 90.00
Closest atoms and distances in Å follow each position.
Sites, in units of the cell vectors:
Ce (0.1730, 0.2500, 0.3644)  3 Co 3.03-3.14, 3 Ge 3.07-3.16, 2 Ag 3.11
Ce (0.2651, 0.2500, 0.9381)  1 Co 2.24
Ce (0.7349, 0.7500, 0.0619)  1 Co 2.24
Ce (0.8270, 0.7500, 0.6356)  3 Co 3.03-3.14, 3 Ge 3.07-3.16, 2 Ag 3.11
Co (0.0595, 0.7500, 0.0595)  1 Ce 2.24, 1 Ge 2.40, 2 Co 2.48
Co (0.9405, 0.2500, 0.9405)  1 Ce 2.24, 1 Ge 2.40, 2 Co 2.48
Ag (0.3361, 0.7500, 0.6611)  2 Ge 2.78
Ag (0.6639, 0.2500, 0.3389)  2 Ge 2.78
Ge (0.4174, 0.7500, 0.2703)  1 Co 2.40
Ge (0.5826, 0.2500, 0.7297)  1 Co 2.40

The electronic total energy is -56.37 eV for the cell shown. The value obtained for the calculated volume is 22.2 Å³ per atom. For the magnetic moment, the calculation gives 1.573 Bohr magnetons per cell.

Record 5
This record from the Alexandria database describes a geometry-optimized CeHoCoAg structure. The functional is PBE.

abc: 7.0423 7.0423 7.0423
angles: 90.00 90.00 90.00
Closest atoms and distances in Å follow each position.
Sites, in units of the cell vectors:
Ce (0.0000, 0.0000, 0.0000)  4 Co 3.05, 4 Ag 3.05
Ce (0.0000, 0.5000, 0.5000)  4 Co 3.05, 4 Ag 3.05
Ce (0.5000, 0.0000, 0.5000)  4 Co 3.05, 4 Ag 3.05
Ce (0.5000, 0.5000, 0.0000)  4 Co 3.05, 4 Ag 3.05
Ho (0.0000, 0.0000, 0.5000)  4 Ag 3.05, 4 Co 3.05
Ho (0.0000, 0.5000, 0.0000)  4 Ag 3.05, 4 Co 3.05
Ho (0.5000, 0.0000, 0.0000)  4 Ag 3.05, 4 Co 3.05
Ho (0.5000, 0.5000, 0.5000)  4 Co 3.05, 4 Ag 3.05
Co (0.2500, 0.2500, 0.2500)  4 Ce 3.05, 4 Ho 3.05
Co (0.2500, 0.7500, 0.7500)  4 Ce 3.05, 4 Ho 3.05
Co (0.7500, 0.2500, 0.7500)  4 Ce 3.05, 4 Ho 3.05
Co (0.7500, 0.7500, 0.2500)  4 Ce 3.05, 4 Ho 3.05
Ag (0.2500, 0.2500, 0.7500)  4 Ce 3.05, 4 Ho 3.05
Ag (0.2500, 0.7500, 0.2500)  4 Ce 3.05, 4 Ho 3.05
Ag (0.7500, 0.2500, 0.2500)  4 Ce 3.05, 4 Ho 3.05
Ag (0.7500, 0.7500, 0.7500)  4 Ho 3.05, 4 Ce 3.05

The electronic total energy is -83.18 eV for the cell shown. The value obtained for the calculated volume is 21.8 Å³ per atom. For the magnetic moment, the calculation gives 0.866 Bohr magnetons per cell.

Record 6
This record from the Alexandria database describes a geometry-optimized CeLuCoAg structure. The functional is PBE.

abc: 6.9883 6.9883 6.9883
angles: 90.00 90.00 90.00
Closest atoms and distances in Å follow each position.
Sites, in units of the cell vectors:
Ce (0.0000, 0.0000, 0.0000)  4 Ag 3.03, 4 Co 3.03
Ce (0.0000, 0.5000, 0.5000)  4 Ag 3.03, 4 Co 3.03
Ce (0.5000, 0.0000, 0.5000)  4 Ag 3.03, 4 Co 3.03
Ce (0.5000, 0.5000, 0.0000)  4 Ag 3.03, 4 Co 3.03
Lu (0.0000, 0.0000, 0.5000)  4 Co 3.03, 4 Ag 3.03
Lu (0.0000, 0.5000, 0.0000)  4 Co 3.03, 4 Ag 3.03
Lu (0.5000, 0.0000, 0.0000)  4 Co 3.03, 4 Ag 3.03
Lu (0.5000, 0.5000, 0.5000)  4 Co 3.03, 4 Ag 3.03
Co (0.2500, 0.2500, 0.7500)  4 Ce 3.03, 4 Lu 3.03
Co (0.2500, 0.7500, 0.2500)  4 Ce 3.03, 4 Lu 3.03
Co (0.7500, 0.2500, 0.2500)  4 Ce 3.03, 4 Lu 3.03
Co (0.7500, 0.7500, 0.7500)  4 Ce 3.03, 4 Lu 3.03
Ag (0.2500, 0.2500, 0.2500)  4 Ce 3.03, 4 Lu 3.03
Ag (0.2500, 0.7500, 0.7500)  4 Ce 3.03, 4 Lu 3.03
Ag (0.7500, 0.2500, 0.7500)  4 Ce 3.03, 4 Lu 3.03
Ag (0.7500, 0.7500, 0.2500)  4 Ce 3.03, 4 Lu 3.03

The electronic total energy is -83.34 eV for the cell shown. The value obtained for the calculated volume is 21.3 Å³ per atom. For the magnetic moment, the calculation gives 0.625 Bohr magnetons per cell.

Record 7
This record from the Alexandria database describes a geometry-optimized CeMgCoAg structure. The functional is PBE.

abc: 6.8206 6.8206 6.8206
angles: 90.00 90.00 90.00
Closest atoms and distances in Å follow each position.
Sites, in units of the cell vectors:
Ce (0.0000, 0.0000, 0.0000)  4 Co 2.95, 4 Ag 2.95
Ce (0.0000, 0.5000, 0.5000)  4 Co 2.95, 4 Ag 2.95
Ce (0.5000, 0.0000, 0.5000)  4 Co 2.95, 4 Ag 2.95
Ce (0.5000, 0.5000, 0.0000)  4 Co 2.95, 4 Ag 2.95
Mg (0.0000, 0.0000, 0.5000)  4 Ag 2.95, 4 Co 2.95
Mg (0.0000, 0.5000, 0.0000)  4 Ag 2.95, 4 Co 2.95
Mg (0.5000, 0.0000, 0.0000)  4 Ag 2.95, 4 Co 2.95
Mg (0.5000, 0.5000, 0.5000)  4 Ag 2.95, 4 Co 2.95
Co (0.2500, 0.2500, 0.2500)  4 Mg 2.95, 4 Ce 2.95
Co (0.2500, 0.7500, 0.7500)  4 Ce 2.95, 4 Mg 2.95
Co (0.7500, 0.2500, 0.7500)  4 Ce 2.95, 4 Mg 2.95
Co (0.7500, 0.7500, 0.2500)  4 Ce 2.95, 4 Mg 2.95
Ag (0.2500, 0.2500, 0.7500)  4 Ce 2.95, 4 Mg 2.95
Ag (0.2500, 0.7500, 0.2500)  4 Ce 2.95, 4 Mg 2.95
Ag (0.7500, 0.2500, 0.2500)  4 Ce 2.95, 4 Mg 2.95
Ag (0.7500, 0.7500, 0.7500)  4 Ce 2.95, 4 Mg 2.95

The electronic total energy is -69.75 eV for the cell shown. The value obtained for the calculated volume is 19.8 Å³ per atom. For the magnetic moment, the calculation gives 0.782 Bohr magnetons per cell.

Record 8
This record from the Alexandria database describes a geometry-optimized CeMg2CoAg structure. The functional is PBE.

abc: 4.9611 4.9611 4.7652
angles: 90.00 90.00 90.00
Closest atoms and distances in Å follow each position.
Sites, in units of the cell vectors:
Ce (0.0000, 0.0000, 0.0000)  1 Co 2.17
Mg (0.0000, 0.5000, 0.4940)  2 Co 2.49
Mg (0.5000, 0.0000, 0.4940)  2 Co 2.49
Co (0.0000, 0.0000, 0.5456)  1 Ce 2.17
Ag (0.5000, 0.5000, 0.0653)  4 Mg 3.21, 4 Ce 3.52

The electronic total energy is -19.34 eV for the cell shown. The value obtained for the calculated volume is 23.5 Å³ per atom. For the magnetic moment, the calculation gives 0.152 Bohr magnetons per cell.

Record 9
This record from the Alexandria database describes a geometry-optimized Ce6CoAg2N structure. The functional is PBE.

abc: 6.8387 6.8472 6.8556
angles: 63.60 63.38 63.59
Closest atoms and distances in Å follow each position.
Sites, in units of the cell vectors:
Ce (0.1573, 0.2492, 0.3152)  1 N 2.43, 1 Co 2.68
Ce (0.2504, 0.1844, 0.8403)  1 N 2.44, 1 Co 2.66
Ce (0.3152, 0.6598, 0.7480)  1 N 2.43, 1 Co 2.66
Ce (0.6848, 0.3402, 0.2520)  1 N 2.43, 1 Co 2.66
Ce (0.7496, 0.8156, 0.1597)  1 N 2.44, 1 Co 2.66
Ce (0.8427, 0.7508, 0.6848)  1 N 2.43, 1 Co 2.68
Co (0.5000, 0.0000, 0.5000)  6 Ce 2.66-2.68
Ag (0.2398, 0.7383, 0.2367)  6 Ce 3.06-3.41
Ag (0.7602, 0.2617, 0.7633)  6 Ce 3.06-3.41
N (0.0000, 0.5000, 0.0000)  6 Ce 2.43-2.44

The electronic total energy is -59.37 eV for the cell shown. The value obtained for the calculated volume is 24.5 Å³ per atom. For the magnetic moment, the calculation gives 3.412 Bohr magnetons per cell. The calculation puts the uncorrected formation energy at -2.6 eV per formula unit.

Record 10
This record from the Alexandria database describes a geometry-optimized CeNdCoAg structure. The functional is PBE.

abc: 7.1798 7.1798 7.1798
angles: 90.00 90.00 90.00
Closest atoms and distances in Å follow each position.
Sites, in units of the cell vectors:
Ce (0.0000, 0.0000, 0.0000)  4 Ag 3.11, 4 Co 3.11
Ce (0.0000, 0.5000, 0.5000)  4 Co 3.11, 4 Ag 3.11
Ce (0.5000, 0.0000, 0.5000)  4 Co 3.11, 4 Ag 3.11
Ce (0.5000, 0.5000, 0.0000)  4 Co 3.11, 4 Ag 3.11
Nd (0.0000, 0.0000, 0.5000)  4 Co 3.11, 4 Ag 3.11
Nd (0.0000, 0.5000, 0.0000)  4 Co 3.11, 4 Ag 3.11
Nd (0.5000, 0.0000, 0.0000)  4 Co 3.11, 4 Ag 3.11
Nd (0.5000, 0.5000, 0.5000)  4 Co 3.11, 4 Ag 3.11
Co (0.2500, 0.2500, 0.2500)  4 Ce 3.11, 4 Nd 3.11
Co (0.2500, 0.7500, 0.7500)  4 Ce 3.11, 4 Nd 3.11
Co (0.7500, 0.2500, 0.7500)  4 Ce 3.11, 4 Nd 3.11
Co (0.7500, 0.7500, 0.2500)  4 Ce 3.11, 4 Nd 3.11
Ag (0.2500, 0.2500, 0.7500)  4 Ce 3.11, 4 Nd 3.11
Ag (0.2500, 0.7500, 0.2500)  4 Ce 3.11, 4 Nd 3.11
Ag (0.7500, 0.2500, 0.2500)  4 Ce 3.11, 4 Nd 3.11
Ag (0.7500, 0.7500, 0.7500)  4 Ce 3.11, 4 Nd 3.11

The electronic total energy is -82.74 eV for the cell shown. The value obtained for the calculated volume is 23.1 Å³ per atom. For the magnetic moment, the calculation gives 1.612 Bohr magnetons per cell.

Record 11
This record from the Alexandria database describes a geometry-optimized CeScCoAg structure. The functional is PBE.

abc: 6.8756 6.8756 6.8756
angles: 90.00 90.00 90.00
Closest atoms and distances in Å follow each position.
Sites, in units of the cell vectors:
Ce (0.0000, 0.0000, 0.0000)  4 Ag 2.98, 4 Co 2.98
Ce (0.0000, 0.5000, 0.5000)  4 Ag 2.98, 4 Co 2.98
Ce (0.5000, 0.0000, 0.5000)  4 Ag 2.98, 4 Co 2.98
Ce (0.5000, 0.5000, 0.0000)  4 Ag 2.98, 4 Co 2.98
Sc (0.0000, 0.0000, 0.5000)  4 Co 2.98, 4 Ag 2.98
Sc (0.0000, 0.5000, 0.0000)  4 Co 2.98, 4 Ag 2.98
Sc (0.5000, 0.0000, 0.0000)  4 Co 2.98, 4 Ag 2.98
Sc (0.5000, 0.5000, 0.5000)  4 Co 2.98, 4 Ag 2.98
Co (0.2500, 0.2500, 0.2500)  4 Ce 2.98, 4 Sc 2.98
Co (0.2500, 0.7500, 0.7500)  4 Ce 2.98, 4 Sc 2.98
Co (0.7500, 0.2500, 0.7500)  4 Ce 2.98, 4 Sc 2.98
Co (0.7500, 0.7500, 0.2500)  4 Ce 2.98, 4 Sc 2.98
Ag (0.2500, 0.2500, 0.7500)  4 Ce 2.98, 4 Sc 2.98
Ag (0.2500, 0.7500, 0.2500)  4 Ce 2.98, 4 Sc 2.98
Ag (0.7500, 0.2500, 0.2500)  4 Ce 2.98, 4 Sc 2.98
Ag (0.7500, 0.7500, 0.7500)  4 Ce 2.98, 4 Sc 2.98

The electronic total energy is -89.94 eV for the cell shown. The value obtained for the calculated volume is 20.3 Å³ per atom. For the magnetic moment, the calculation gives 0.873 Bohr magnetons per cell.

Record 12
This record from the Alexandria database describes a geometry-optimized CeSmCoAg structure. The functional is PBE.

abc: 7.1331 7.1331 7.1331
angles: 90.00 90.00 90.00
Closest atoms and distances in Å follow each position.
Sites, in units of the cell vectors:
Ce (0.0000, 0.0000, 0.0000)  4 Co 3.09, 4 Ag 3.09
Ce (0.0000, 0.5000, 0.5000)  4 Co 3.09, 4 Ag 3.09
Ce (0.5000, 0.0000, 0.5000)  4 Co 3.09, 4 Ag 3.09
Ce (0.5000, 0.5000, 0.0000)  4 Co 3.09, 4 Ag 3.09
Sm (0.0000, 0.0000, 0.5000)  4 Co 3.09, 4 Ag 3.09
Sm (0.0000, 0.5000, 0.0000)  4 Co 3.09, 4 Ag 3.09
Sm (0.5000, 0.0000, 0.0000)  4 Co 3.09, 4 Ag 3.09
Sm (0.5000, 0.5000, 0.5000)  4 Co 3.09, 4 Ag 3.09
Co (0.2500, 0.2500, 0.7500)  4 Ce 3.09, 4 Sm 3.09
Co (0.2500, 0.7500, 0.2500)  4 Ce 3.09, 4 Sm 3.09
Co (0.7500, 0.2500, 0.2500)  4 Ce 3.09, 4 Sm 3.09
Co (0.7500, 0.7500, 0.7500)  4 Ce 3.09, 4 Sm 3.09
Ag (0.2500, 0.2500, 0.2500)  4 Ce 3.09, 4 Sm 3.09
Ag (0.2500, 0.7500, 0.7500)  4 Ce 3.09, 4 Sm 3.09
Ag (0.7500, 0.2500, 0.7500)  4 Ce 3.09, 4 Sm 3.09
Ag (0.7500, 0.7500, 0.2500)  4 Ce 3.09, 4 Sm 3.09

The electronic total energy is -82.93 eV for the cell shown. The value obtained for the calculated volume is 22.7 Å³ per atom. For the magnetic moment, the calculation gives 1.386 Bohr magnetons per cell.